[1]
Entry from Alexandria via LeMat-Bulk: a relaxed LiGaTc crystal (GGA-PBEsol).

Unit cell a=2.9330 b=2.9330 c=10.0324 alpha=90.00 beta=90.00 gamma=90.00
Atoms (fractional coordinates):
1 Tc 0.0000 0.5000 0.5753
2 Tc 0.5000 0.0000 0.4247
3 Ga 0.0000 0.5000 0.2551
4 Ga 0.5000 0.0000 0.7449
5 Li 0.5000 0.0000 0.0936
6 Li 0.0000 0.5000 0.9064

Values from the calculation:
Total moment ... 0.00 μB/atom
Calculated volume ... 86.3 Å³ per cell
E_form ... -0.23 eV/atom

[2]
Entry from Alexandria via LeMat-Bulk: a relaxed ZnGaSb2Ru crystal (GGA-PBEsol).

Unit cell a=4.7013 b=5.0697 c=5.0697 alpha=90.00 beta=90.00 gamma=90.00
Atoms (fractional coordinates):
1 Sb 0.0000 0.0000 0.5000
2 Sb 0.0000 0.5000 0.0000
3 Zn 0.5000 0.5000 0.5000
4 Ga 0.5000 0.0000 0.0000
5 Ru 0.0000 0.0000 0.0000

Values from the calculation:
Total moment ... 0.00 μB/atom
Calculated volume ... 120.8 Å³ per cell
Formation energy from raw total energies ... 0.34 eV per atom

[3]
Entry from Alexandria via LeMat-Bulk: a relaxed MoSe2 crystal (GGA-PBEsol).

Unit cell a=3.0252 b=4.4697 c=4.4697 alpha=120.00 beta=90.00 gamma=90.00
Atoms (fractional coordinates):
1 Mo 0.0000 0.0000 0.0000
2 Se 0.1764 0.6667 0.3333
3 Se 0.8236 0.3333 0.6667

Values from the calculation:
Total moment ... 0.00 μB/atom
Calculated volume ... 52.3 Å³ per cell
Formation energy from raw total energies ... 0.21 eV per atom

[4]
Entry from Alexandria via LeMat-Bulk: a relaxed CdP2O2 crystal (GGA-PBEsol).

Unit cell a=3.9474 b=3.9474 c=5.1164 alpha=90.00 beta=90.00 gamma=90.00
Atoms (fractional coordinates):
1 P 0.5000 0.5000 0.5000
2 P 0.0000 0.0000 0.5000
3 O 0.0000 0.5000 0.0000
4 O 0.5000 0.0000 0.0000
5 Cd 0.0000 0.0000 0.0000

Values from the calculation:
Total moment ... 0.06 μB/atom
Calculated volume ... 79.7 Å³ per cell
Formation energy from raw total energies ... 0.81 eV per atom

[5]
Entry from Alexandria via LeMat-Bulk: a relaxed TlV5Se8 crystal (GGA-PBEsol).

Unit cell a=3.3232 b=8.7998 c=9.1473 alpha=104.06 beta=100.47 gamma=90.00
Atoms (fractional coordinates):
1 Tl 0.0000 0.0000 0.0000
2 V 0.1443 0.5023 0.2885
3 V 0.7882 0.1407 0.5765
4 V 0.2118 0.8593 0.4235
5 V 0.5000 0.5000 0.0000
6 V 0.8557 0.4977 0.7114
7 Se 0.6564 0.0039 0.3128
8 Se 0.2572 0.3410 0.5145
9 Se 0.0716 0.6925 0.1432
10 Se 0.7428 0.6590 0.4855
11 Se 0.9284 0.3075 0.8568
12 Se 0.5846 0.3144 0.1692
13 Se 0.3436 0.9961 0.6872
14 Se 0.4154 0.6856 0.8308

Values from the calculation:
Total moment ... 0.08 μB/atom
Calculated volume ... 254.9 Å³ per cell
Formation energy from raw total energies ... -0.72 eV per atom

[6]
Entry from Alexandria via LeMat-Bulk: a relaxed Mn3SiN crystal (GGA-PBEsol).

Unit cell a=4.3391 b=4.3391 c=4.3391 alpha=90.00 beta=90.00 gamma=90.00
Atoms (fractional coordinates):
1 Si 0.0000 0.0000 0.0000
2 Mn 0.0000 0.5000 0.0000
3 Mn 0.0000 0.0000 0.5000
4 Mn 0.5000 0.0000 0.0000
5 N 0.5000 0.5000 0.5000

Values from the calculation:
Total moment ... 2.00 μB/atom
Calculated volume ... 81.7 Å³ per cell
Formation energy from raw total energies ... 1.73 eV per atom

[7]
Entry from Alexandria via LeMat-Bulk: a relaxed BeRh2 crystal (GGA-PBEsol).

Unit cell a=2.7052 b=4.7681 c=5.8080 alpha=98.37 beta=90.00 gamma=106.48
Atoms (fractional coordinates):
1 Be 0.9754 0.9508 0.9673
2 Be 0.7060 0.4119 0.3671
3 Rh 0.3341 0.6681 0.6848
4 Rh 0.4082 0.8164 0.2494
5 Rh 0.0574 0.1149 0.5928
6 Rh 0.6856 0.3713 0.9720

Values from the calculation:
Total moment ... 0.00 μB/atom
Calculated volume ... 71.0 Å³ per cell
E_form ... -0.25 eV/atom

[8]
Entry from Alexandria via LeMat-Bulk: a relaxed ZrAl2In crystal (GGA-PBEsol).

Unit cell a=4.0097 b=4.0097 c=5.4296 alpha=111.67 beta=111.67 gamma=90.00
Atoms (fractional coordinates):
1 Al 0.0000 0.0000 0.0000
2 Al 0.2500 0.7500 0.5000
3 Zr 0.7500 0.2500 0.5000
4 In 0.5000 0.5000 0.0000

Values from the calculation:
Total moment ... 0.00 μB/atom
Calculated volume ... 74.4 Å³ per cell
E_form ... -0.39 eV/atom

[9]
Entry from Alexandria via LeMat-Bulk: a relaxed KCuAs crystal (GGA-PBEsol).

Unit cell a=4.0285 b=4.0285 c=5.1736 alpha=90.00 beta=90.00 gamma=120.00
Atoms (fractional coordinates):
1 As 0.0000 0.0000 0.0000
2 K 0.6667 0.3333 0.5000
3 Cu 0.3333 0.6667 0.0000

Values from the calculation:
Total moment ... 0.00 μB/atom
Calculated volume ... 72.7 Å³ per cell
E_form ... -0.20 eV/atom

[10]
Entry from Alexandria via LeMat-Bulk: a relaxed YTaCd2 crystal (GGA-PBEsol).

Unit cell a=3.0006 b=5.4006 c=5.4966 alpha=98.66 beta=105.84 gamma=90.00
Atoms (fractional coordinates):
1 Cd 0.2422 0.2331 0.4844
2 Cd 0.7578 0.7669 0.5156
3 Ta 0.5000 0.0000 0.0000
4 Y 0.0000 0.5000 0.0000

Values from the calculation:
Total moment ... 0.00 μB/atom
Calculated volume ... 84.6 Å³ per cell
Energy above the most stable polymorph in this dataset ... 7 meV/atom
E_form ... 0.22 eV/atom

[11]
Entry from Alexandria via LeMat-Bulk: a relaxed LiTi2VO6 crystal (GGA-PBEsol).

Unit cell a=5.2950 b=8.6783 c=9.9829 alpha=90.00 beta=101.55 gamma=90.00
Atoms (fractional coordinates):
1 Li 0.0684 0.9737 0.7559
2 Li 0.5684 0.5263 0.7559
3 Li 0.4316 0.4737 0.2441
4 Li 0.9316 0.0263 0.2441
5 Ti 0.1764 0.6526 0.9466
6 Ti 0.6764 0.8474 0.9466
7 Ti 0.3381 0.8561 0.5240
8 Ti 0.8381 0.6439 0.5240
9 Ti 0.1619 0.3561 0.4760
10 Ti 0.6619 0.1439 0.4760
11 Ti 0.3236 0.1526 0.0534
12 Ti 0.8236 0.3474 0.0534
13 V 0.0827 0.3260 0.7577
14 V 0.5827 0.1740 0.7577
15 V 0.4173 0.8260 0.2423
16 V 0.9173 0.6740 0.2423
17 O 0.3336 0.8194 0.8813
18 O 0.2768 0.4841 0.8728
19 O 0.2929 0.1573 0.8636
20 O 0.8336 0.6806 0.8813
21 O 0.7768 0.0159 0.8728
22 O 0.7929 0.3427 0.8636
23 O 0.0560 0.8014 0.5985
24 O 0.3666 0.3394 0.6570
25 O 0.4177 0.0412 0.6091
26 O 0.5560 0.6986 0.5985
27 O 0.8666 0.1606 0.6570
28 O 0.9177 0.4588 0.6091
29 O 0.0823 0.5412 0.3909
30 O 0.1334 0.8394 0.3430
31 O 0.4440 0.3014 0.4015
32 O 0.5823 0.9588 0.3909
33 O 0.6334 0.6606 0.3430
34 O 0.9440 0.1986 0.4015
35 O 0.2071 0.6573 0.1364
36 O 0.2232 0.9841 0.1272
37 O 0.1664 0.3194 0.1187
38 O 0.7071 0.8427 0.1364
39 O 0.7232 0.5159 0.1272
40 O 0.6664 0.1806 0.1187

Values from the calculation:
Total moment ... 0.20 μB/atom
Calculated volume ... 449.4 Å³ per cell
Formation energy from raw total energies ... -2.65 eV per atom
Energy above the most stable polymorph in this dataset ... 27 meV/atom

[12]
Entry from Alexandria via LeMat-Bulk: a relaxed HfHgPOs2 crystal (GGA-PBEsol).

Unit cell a=4.7429 b=4.8165 c=4.8165 alpha=90.00 beta=90.00 gamma=90.00
Atoms (fractional coordinates):
1 Hf 0.0000 0.0000 0.0000
2 Os 0.0000 0.0000 0.5000
3 Os 0.0000 0.5000 0.0000
4 Hg 0.5000 0.5000 0.5000
5 P 0.5000 0.0000 0.0000

Values from the calculation:
Total moment ... 0.15 μB/atom
Calculated volume ... 110.0 Å³ per cell
E_form ... 1.90 eV/atom

Question: The lowest calculated volume belongs to which entry?
Answer: MoSe2